[1]
DFT (PBE) results for a relaxed structure of Li3Pb7.

Cell and atoms, written as POSCAR:
```
Li3Pb7
1.0
-4.3461 5.3039 -1.1080
-7.1902 -6.0101 -0.5667
2.3900 3.6913 8.2948
Li Pb
6 14
Cartesian
-4.2292 4.8298 2.4375
-3.3544 6.1810 5.4738
-5.9864 3.9809 5.2664
-5.8377 -0.7211 3.9478
-6.7126 -2.0723 0.9115
-4.0806 0.1278 1.1189
-4.1564 -2.5815 2.3464
-3.1361 3.3043 4.7462
-8.5556 2.4563 4.7331
-10.0675 0.1212 -0.5142
-5.5190 3.9232 -0.1557
-2.1727 2.4594 1.4836
-0.6607 4.7945 6.7309
-5.2092 0.9925 6.3724
-1.8645 1.5403 7.3203
-2.8341 0.0428 3.9551
0.0829 2.4811 4.1851
-6.5791 0.5873 -0.5211
-5.6095 2.0848 2.8440
-8.5265 -0.3535 2.6141
```

---

[2]
DFT (PBE) results for a relaxed structure of Li3Pb.

Cell and atoms, written as POSCAR:
```
Li3Pb
1.0
3.2283 0.0000 0.0000
0.0000 4.3140 0.0000
0.0000 0.0000 6.0028
Li Pb
3 1
Cartesian
1.6141 2.1570 4.5778
0.0000 0.0000 3.0014
1.6141 2.1570 1.4250
0.0000 0.0000 0.0000
```

---

[3]
DFT (PBE) results for a relaxed structure of LiPb4.

Cell and atoms, written as POSCAR:
```
LiPb4
1.0
5.2753 0.0000 0.0000
0.0000 5.2753 0.0000
0.0000 0.0000 5.2753
Pb Li
4 1
Cartesian
0.0000 0.0000 0.0000
2.6376 0.0000 2.6376
0.0000 2.6376 2.6376
2.6376 2.6376 0.0000
2.6376 2.6376 2.6376
```

---

no.,calculated total energy (eV/atom),energy of formation from the pure elements (eV/f.u.)
1,-3.2905,-1.21
2,-2.5638,-0.81
3,-3.2343,0.58